(1)
## RbLiHg2 (GGA-PBE)

Data for a relaxed RbLiHg2 crystal.

Lattice parameters (Å, degrees): 3.772 3.772 8.237 90.00 90.00 90.00
Space group P4/mmm (No. 123)
Symmetry-distinct sites (fractional):
Rb 0.000 0.000 0.000 x1
Li 0.000 0.000 0.500 x1
Hg 0.500 0.500 0.321 x2

Computed properties:
For the distance to the lowest polymorph of the same formula, the calculation gives 14 meV per atom. Its electronic total energy is -1.10 eV/atom.

***

(2)
## RbLiHg2 (GGA-PBE)

Data for a relaxed RbLiHg2 crystal.

Lattice parameters (Å, degrees): 5.607 5.607 4.092 90.00 90.00 90.00
Space group P4/mmm (No. 123)
Symmetry-distinct sites (fractional):
Rb 0.000 0.000 0.000 x1
Li 0.500 0.500 0.000 x1
Hg 0.000 0.500 0.500 x2

Computed properties:
For the distance to the lowest polymorph of the same formula, the calculation gives 152 meV per atom. Its electronic total energy is -0.96 eV/atom.

***

(3)
## RbLi2Hg (GGA-PBE)

Data for a relaxed RbLi2Hg crystal.

Lattice parameters (Å, degrees): 3.762 3.762 8.539 90.00 90.00 90.00
Space group P4/mmm (No. 123)
Symmetry-distinct sites (fractional):
Rb 0.000 0.000 0.000 x1
Li 0.500 0.500 0.348 x2
Hg 0.000 0.000 0.500 x1

Computed properties:
Its electronic total energy is -1.33 eV/atom.

***

(4)
## RbLi2Hg (GGA-PBE)

Data for a relaxed RbLi2Hg crystal.

Lattice parameters (Å, degrees): 5.656 5.656 18.954 90.00 90.00 90.00
Space group I4_1/amd (No. 141, origin choice 2)
Symmetry-distinct sites (fractional):
Rb 0.000 0.250 0.375 x4
Li 0.000 0.000 0.000 x8
Hg 0.000 0.250 0.875 x4

Computed properties:
Its electronic total energy is -1.27 eV/atom.

***

(5)
## Rb12LiHg6 (GGA-PBE)

Data for a relaxed Rb12LiHg6 crystal.

Lattice parameters (Å, degrees): 12.941 12.941 12.941 90.00 90.00 90.00
Space group Im-3 (No. 204)
Symmetry-distinct sites (fractional):
Rb 0.000 0.184 0.297 x24
Li 0.000 0.000 0.000 x2
Hg 0.000 0.384 0.500 x12

Computed properties:
Its electronic total energy is -0.93 eV/atom.

***

(6)
## Rb4LiHg4 (GGA-PBE)

Data for a relaxed Rb4LiHg4 crystal.

Lattice parameters (Å, degrees): 7.504 7.504 14.981 90.00 90.00 90.00
Space group I-42m (No. 121)
Symmetry-distinct sites (fractional):
Rb 0.214 0.214 0.143 x8
Li 0.000 0.000 0.500 x2
Hg 0.217 0.217 0.396 x8

Computed properties:
Its electronic total energy is -0.90 eV/atom.

***

(7)
## RbLi2Hg (GGA-PBE)

Data for a relaxed RbLi2Hg crystal.

Lattice parameters (Å, degrees): 4.8486 4.8486 19.7132 90.00 90.00 120.00
Space group R-3m (No. 166, hexagonal axes)
Symmetry-distinct sites (fractional):
Rb 0.0000 0.0000 0.0000 x3
Li 0.0000 0.0000 0.1889 x6
Hg 0.0000 0.0000 0.5000 x3

Computed properties:
Its electronic total energy is -1.39 eV/atom.

***

(8)
## RbLiHg2 (GGA-PBE)

Data for a relaxed RbLiHg2 crystal.

Lattice parameters (Å, degrees): 8.042 8.042 8.042 90.00 90.00 90.00
Space group Fm-3m (No. 225)
Symmetry-distinct sites (fractional):
Rb 0.000 0.000 0.000 x4
Li 0.000 0.000 0.500 x4
Hg 0.250 0.250 0.250 x8

Computed properties:
For the distance to the lowest polymorph of the same formula, the calculation gives 139 meV per atom. Its electronic total energy is -0.98 eV/atom.

***

(9)
## RbLi3Hg (GGA-PBE)

Data for a relaxed RbLi3Hg crystal.

Lattice parameters (Å, degrees): 5.426 5.426 5.426 90.00 90.00 90.00
Space group Pm-3m (No. 221)
Symmetry-distinct sites (fractional):
Rb 0.000 0.000 0.000 x1
Li 0.000 0.500 0.500 x3
Hg 0.500 0.500 0.500 x1

Computed properties:
For the distance to the lowest polymorph of the same formula, the calculation gives 0 meV per atom. Its electronic total energy is -1.43 eV/atom.

***

(10)
## Rb2LiHg (GGA-PBE)

Data for a relaxed Rb2LiHg crystal.

Lattice parameters (Å, degrees): 6.402 6.402 4.645 90.00 90.00 90.00
Space group P4/mmm (No. 123)
Symmetry-distinct sites (fractional):
Rb 0.000 0.500 0.000 x2
Li 0.000 0.000 0.500 x1
Hg 0.500 0.500 0.500 x1

Computed properties:
Its electronic total energy is -1.03 eV/atom.

***

(11)
## RbLiHg2 (GGA-PBE)

Data for a relaxed RbLiHg2 crystal.

Lattice parameters (Å, degrees): 4.9091 4.9091 19.5091 90.00 90.00 120.00
Space group R3m (No. 160, hexagonal axes)
Symmetry-distinct sites (fractional):
Rb 0.0000 0.0000 0.0000 x3
Li 0.0000 0.0000 0.8176 x3
Hg 0.0000 0.0000 0.1926 x3
Hg 0.0000 0.0000 0.4728 x3

Computed properties:
For the distance to the lowest polymorph of the same formula, the calculation gives 22 meV per atom. Its electronic total energy is -1.09 eV/atom.

***

(12)
## RbLiHg4 (GGA-PBE)

Data for a relaxed RbLiHg4 crystal.

Lattice parameters (Å, degrees): 8.889 8.889 8.889 90.00 90.00 90.00
Space group F-43m (No. 216)
Symmetry-distinct sites (fractional):
Rb 0.000 0.000 0.000 x4
Li 0.250 0.250 0.250 x4
Hg 0.124 0.124 0.624 x16

Computed properties:
Its electronic total energy is -0.81 eV/atom.

***

(13)
## RbLi3Hg (GGA-PBE)

Data for a relaxed RbLi3Hg crystal.

Lattice parameters (Å, degrees): 6.021 6.021 6.021 90.00 90.00 90.00
Space group Pm-3m (No. 221)
Symmetry-distinct sites (fractional):
Rb 0.000 0.000 0.000 x1
Li 0.000 0.000 0.500 x3
Hg 0.500 0.500 0.500 x1

Computed properties:
For the distance to the lowest polymorph of the same formula, the calculation gives 745 meV per atom. Its electronic total energy is -0.69 eV/atom.

***

(14)
## RbLiHg2 (GGA-PBE)

Data for a relaxed RbLiHg2 crystal.

Lattice parameters (Å, degrees): 4.9317 4.9317 19.0654 90.00 90.00 120.00
Space group R-3m (No. 166, hexagonal axes)
Symmetry-distinct sites (fractional):
Rb 0.0000 0.0000 0.0000 x3
Li 0.0000 0.0000 0.5000 x3
Hg 0.0000 0.0000 0.1962 x6

Computed properties:
For the distance to the lowest polymorph of the same formula, the calculation gives 0 meV per atom. Its electronic total energy is -1.11 eV/atom.

***

(15)
## Rb3Li2Hg9 (GGA-PBE)

Data for a relaxed Rb3Li2Hg9 crystal.

Lattice parameters (Å, degrees): 5.057 11.720 14.669 90.00 90.00 90.00
Space group Immm (No. 71)
Symmetry-distinct sites (fractional):
Rb 0.000 0.000 0.000 x2
Rb 0.000 0.000 0.300 x4
Li 0.000 0.202 0.500 x4
Hg 0.000 0.285 0.123 x8
Hg 0.000 0.357 0.341 x8
Hg 0.000 0.500 0.000 x2

Computed properties:
Its electronic total energy is -0.91 eV/atom.

***

(16)
## RbLiHg14 (GGA-PBE)

Data for a relaxed RbLiHg14 crystal.

Lattice parameters (Å, degrees): 13.785 13.934 10.959 90.00 118.15 90.00
Space group C2/c (No. 15)
Symmetry-distinct sites (fractional):
Rb 0.000 0.171 0.250 x4
Li 0.250 0.250 0.000 x4
Hg 0.007 0.093 0.919 x8
Hg 0.036 0.323 0.908 x8
Hg 0.051 0.448 0.149 x8
Hg 0.191 0.371 0.469 x8
Hg 0.209 0.225 0.695 x8
Hg 0.211 0.051 0.860 x8
Hg 0.249 0.420 0.837 x8

Computed properties:
Its electronic total energy is -0.55 eV/atom.

***

(17)
## RbLiHg2 (GGA-PBE)

Data for a relaxed RbLiHg2 crystal.

Lattice parameters (Å, degrees): 5.910 5.910 18.462 90.00 90.00 90.00
Space group I4_1/amd (No. 141, origin choice 2)
Symmetry-distinct sites (fractional):
Rb 0.000 0.250 0.375 x4
Li 0.000 0.250 0.875 x4
Hg 0.000 0.000 0.000 x8

Computed properties:
For the distance to the lowest polymorph of the same formula, the calculation gives 94 meV per atom. Its electronic total energy is -1.02 eV/atom.

***

(18)
## Rb5Li2Hg12 (GGA-PBE)

Data for a relaxed Rb5Li2Hg12 crystal.

Lattice parameters (Å, degrees): 18.842 8.949 7.607 90.00 96.49 90.00
Space group C2/m (No. 12)
Symmetry-distinct sites (fractional):
Rb 0.000 0.000 0.000 x2
Rb 0.211 0.500 0.556 x4
Rb 0.233 0.000 0.921 x4
Li 0.000 0.288 0.500 x4
Hg 0.038 0.500 0.236 x4
Hg 0.083 0.000 0.541 x4
Hg 0.100 0.311 0.844 x8
Hg 0.132 0.221 0.245 x8

Computed properties:
Its electronic total energy is -0.85 eV/atom.

***

(19)
## Rb2LiHgRu (GGA-PBE)

Data for a relaxed Rb2LiHgRu crystal.

Lattice parameters (Å, degrees): 6.459 6.459 4.685 90.00 90.00 90.00
Space group P4/mmm (No. 123)
Symmetry-distinct sites (fractional):
Rb 0.000 0.500 0.000 x2
Li 0.000 0.000 0.000 x1
Hg 0.500 0.500 0.500 x1
Ru 0.000 0.000 0.500 x1

Computed properties:
Its electronic total energy is -1.90 eV/atom.

***

(20)
## RbLiHgS (GGA-PBE)

Data for a relaxed RbLiHgS crystal.

Lattice parameters (Å, degrees): 4.367 4.367 12.011 90.00 90.00 90.00
Space group P4/nmm (No. 129, origin choice 2)
Symmetry-distinct sites (fractional):
Rb 0.250 0.250 0.218 x2
Li 0.250 0.750 0.000 x2
Hg 0.250 0.750 0.500 x2
S 0.250 0.250 0.894 x2

Computed properties:
The value obtained for the uncorrected formation energy is -0.85 eV per atom. Its electronic total energy is -2.68 eV/atom.

***

| no. | DOS(E_F) (states/eV/atom) |
| --- | --- |
| 1 | 0.28 |
| 2 | 0.43 |
| 3 | 0.43 |
| 4 | 0.53 |
| 5 | 0.74 |
| 6 | 0.88 |
| 7 | 0.68 |
| 8 | 0.64 |
| 9 | 0.58 |
| 10 | 0.79 |
| 11 | 0.44 |
| 12 | 0.37 |
| 13 | 0.70 |
| 14 | 0.43 |
| 15 | 0.32 |
| 16 | 0.27 |
| 17 | 0.08 |
| 18 | 0.49 |
| 19 | 4.23 |
| 20 | 0.57 |